# Ti2Hg2W (PBE, relaxed)
data_Ti2Hg2W
_cell_length_a 6.796
_cell_length_b 6.796
_cell_length_c 4.141
_cell_angle_alpha 90.00
_cell_angle_beta 90.00
_cell_angle_gamma 90.00
_symmetry_space_group_name_H-M 'P 4/m b m'
_symmetry_Int_Tables_number 127
_symmetry_space_group_name_Hall '-P 4 2ab'
loop_
_atom_site_label
_atom_site_fract_x
_atom_site_fract_y
_atom_site_fract_z
_atom_site_occupancy
Ti1 0.148 0.352 0.000 1
Hg1 0.156 0.656 0.500 1
W1 0.000 0.000 0.000 1
# Total DFT energy (no corrections), eV/atom: -5.36
# DFT formation energy, eV per atom: 0.510
# Offset from the most stable computed form, eV/atom: 0.000